# 1
{"formula": "MgIn6Ga2", "functional": "GGA-PBE", "state": "relaxed", "cell": [[-1.584, 4.544, 7.814], [1.584, -4.544, 7.814], [1.584, 4.544, -7.814]], "species": ["Mg", "In", "In", "In", "In", "In", "In", "Ga", "Ga"], "frac_coords": [[0.000, 0.000, 0.000], [0.008, 0.675, 0.333], [0.318, 0.500, 0.818], [0.343, 0.675, 0.667], [0.657, 0.325, 0.333], [0.682, 0.500, 0.182], [0.992, 0.325, 0.667], [0.357, 0.857, 0.500], [0.643, 0.143, 0.500]]}

# 2
{"formula": "Mg3In2Ga", "functional": "GGA-PBE", "state": "relaxed", "cell": [[2.286, -6.764, 0.000], [2.286, 6.764, 0.000], [0.000, 0.000, 8.555]], "species": ["Mg", "Mg", "Mg", "Mg", "Mg", "Mg", "In", "In", "In", "In", "Ga", "Ga"], "frac_coords": [[0.000, 0.000, 0.242], [0.000, 0.000, 0.758], [0.331, 0.669, 0.237], [0.331, 0.669, 0.763], [0.669, 0.331, 0.237], [0.669, 0.331, 0.763], [0.166, 0.834, 0.500], [0.500, 0.500, 0.000], [0.500, 0.500, 0.500], [0.834, 0.166, 0.500], [0.169, 0.831, 0.000], [0.831, 0.169, 0.000]]}

# 3
{"formula": "MgIn6Ga8", "functional": "GGA-PBE", "state": "relaxed", "cell": [[4.066, 2.347, 5.950], [-4.066, 2.347, 5.950], [0.000, -4.694, 5.950]], "species": ["Mg", "In", "In", "In", "In", "In", "In", "Ga", "Ga", "Ga", "Ga", "Ga", "Ga", "Ga", "Ga"], "frac_coords": [[0.000, 0.000, 0.000], [0.120, 0.655, 0.812], [0.188, 0.880, 0.345], [0.345, 0.188, 0.880], [0.655, 0.812, 0.120], [0.812, 0.120, 0.655], [0.880, 0.345, 0.188], [0.082, 0.556, 0.286], [0.286, 0.082, 0.556], [0.423, 0.423, 0.423], [0.444, 0.714, 0.918], [0.556, 0.286, 0.082], [0.577, 0.577, 0.577], [0.714, 0.918, 0.444], [0.918, 0.444, 0.714]]}

# 4
{"formula": "Mg5In5Ga2", "functional": "GGA-PBE", "state": "relaxed", "cell": [[6.884, -2.245, 0.000], [6.884, 2.245, 0.000], [-4.521, 0.000, 8.849]], "species": ["Mg", "Mg", "Mg", "Mg", "Mg", "In", "In", "In", "In", "In", "Ga", "Ga"], "frac_coords": [[0.000, 0.000, 0.000], [0.082, 0.082, 0.742], [0.251, 0.251, 0.265], [0.749, 0.749, 0.735], [0.918, 0.918, 0.258], [0.331, 0.331, 0.998], [0.414, 0.414, 0.746], [0.500, 0.500, 0.500], [0.586, 0.586, 0.254], [0.669, 0.669, 0.002], [0.170, 0.170, 0.504], [0.830, 0.830, 0.496]]}

# 5
{"formula": "Mg2InGa", "functional": "GGA-PBE", "state": "relaxed", "de_polymorph_mev_per_atom": 19, "cell": [[0.000, 3.508, 3.508], [3.508, 0.000, 3.508], [3.508, 3.508, 0.000]], "species": ["Mg", "Mg", "In", "Ga"], "frac_coords": [[0.250, 0.250, 0.250], [0.750, 0.750, 0.750], [0.000, 0.000, 0.000], [0.500, 0.500, 0.500]]}

# 6
{"formula": "Mg6In3Ga", "functional": "GGA-PBE", "state": "relaxed", "cell": [[12.452, 0.000, 0.000], [0.000, 3.293, 0.000], [-5.951, 0.000, 11.314]], "species": ["Mg", "Mg", "Mg", "Mg", "Mg", "Mg", "Mg", "Mg", "Mg", "Mg", "Mg", "Mg", "In", "In", "In", "In", "In", "In", "Ga", "Ga"], "frac_coords": [[0.012, 0.250, 0.254], [0.108, 0.750, 0.104], [0.173, 0.250, 0.705], [0.344, 0.250, 0.157], [0.354, 0.750, 0.947], [0.439, 0.750, 0.580], [0.561, 0.250, 0.420], [0.646, 0.250, 0.053], [0.656, 0.750, 0.843], [0.827, 0.750, 0.295], [0.892, 0.250, 0.896], [0.988, 0.750, 0.746], [0.127, 0.750, 0.484], [0.282, 0.250, 0.356], [0.436, 0.250, 0.790], [0.564, 0.750, 0.210], [0.718, 0.750, 0.644], [0.873, 0.250, 0.516], [0.147, 0.250, 0.933], [0.853, 0.750, 0.067]]}

# 7
{"formula": "Mg3InGa3", "functional": "GGA-PBE", "state": "relaxed", "de_polymorph_mev_per_atom": 0, "cell": [[3.679, -4.364, 0.000], [3.679, 4.364, 0.000], [-2.095, 0.000, 9.346]], "species": ["Mg", "Mg", "Mg", "Mg", "Mg", "Mg", "In", "In", "Ga", "Ga", "Ga", "Ga", "Ga", "Ga"], "frac_coords": [[0.177, 0.823, 0.000], [0.203, 0.797, 0.500], [0.393, 0.393, 0.123], [0.607, 0.607, 0.877], [0.797, 0.203, 0.500], [0.823, 0.177, 0.000], [0.333, 0.333, 0.560], [0.667, 0.667, 0.440], [0.065, 0.417, 0.791], [0.092, 0.092, 0.267], [0.417, 0.065, 0.791], [0.583, 0.935, 0.209], [0.908, 0.908, 0.733], [0.935, 0.583, 0.209]]}

# 8
{"formula": "Mg6InGa", "functional": "GGA-PBE", "state": "relaxed", "de_polymorph_mev_per_atom": 0, "cell": [[4.419, 0.000, 0.000], [0.000, 4.419, 0.000], [0.000, 0.000, 8.854]], "species": ["Mg", "Mg", "Mg", "Mg", "Mg", "Mg", "In", "Ga"], "frac_coords": [[0.000, 0.000, 0.000], [0.000, 0.000, 0.500], [0.000, 0.500, 0.241], [0.000, 0.500, 0.759], [0.500, 0.000, 0.241], [0.500, 0.000, 0.759], [0.500, 0.500, 0.500], [0.500, 0.500, 0.000]]}

In order of appearance, DFT total energy = -2.6366 -2.3106 -2.7759 -2.3762 -2.3212 -2.1356 -2.4086 -2.0018 eV/atom.